VASP calculation (PBE) on crystalline DyHo2B2Pd2N3 at its relaxed geometry.

Cell lengths 10.4410, 10.4410, 10.4410 Å; angles 159.99, 159.99, 28.45 degrees
With the nearest neighbours (Å) after each atom.
Fractional positions:
B 0.1844 0.1844 0.0000  1 N 1.43
B 0.8156 0.8156 0.0000  1 N 1.43
Dy 0.0000 0.0000 0.0000  6 N 2.30-2.57
Ho 0.3817 0.3817 0.0000  5 N 2.39-2.57
Ho 0.6183 0.6183 0.0000  5 N 2.39-2.57
N 0.1137 0.1137 0.0000  1 B 1.43
N 0.5000 0.5000 0.0000  2 Ho 2.39, 4 Dy 2.57
N 0.8863 0.8863 0.0000  1 B 1.43
Pd 0.7500 0.2500 0.5000  4 B 2.25
Pd 0.2500 0.7500 0.5000  4 B 2.25

Results
SG = I4/mmm
raw total energy = -7.412 eV/atom

***

VASP calculation (PBE) on crystalline DyHoB2Pt2N2 at its relaxed geometry.

Cell lengths 3.7351, 3.7351, 7.5550 Å; angles 90.00, 90.00, 90.00 degrees
With the nearest neighbours (Å) after each atom.
Fractional positions:
B 0.0000 0.0000 0.3283  1 N 1.44
B 0.5000 0.5000 0.6722  1 N 1.44
Dy 0.0000 0.0000 0.8374  1 N 2.27
Ho 0.5000 0.5000 0.1623  1 N 2.26
N 0.0000 0.0000 0.1377  1 B 1.44
N 0.5000 0.5000 0.8629  1 B 1.44
Pt 0.5000 0.0000 0.4997  4 B 2.27-2.28
Pt 0.0000 0.5000 0.4997  4 B 2.27-2.28

Results
SG = P4mm
raw total energy = -7.562 eV/atom